# 1
Density functional theory data (GGA-PBEsol) for a geometry-optimized CuH36C8N10O8 structure.

Geometry as extended XYZ:
```
126
Lattice="-1.590 -4.190 4.876 5.034 -6.706 -8.618 9.940 4.365 6.992" Properties=species:S:1:pos:R:3 pbc="T T T"
Cu 1.390 -1.795 5.108
Cu 6.961 1.971 6.760
H 11.567 -6.536 1.814
H 8.672 -4.420 -4.335
H 7.155 -0.263 2.720
H 9.833 -3.507 -1.171
H 9.637 -4.918 -2.818
H 5.275 -1.189 2.661
H 3.550 -3.024 4.420
H 4.262 -6.958 1.413
H 1.240 -1.523 2.184
H 12.508 -2.194 2.005
H 9.349 -1.368 8.905
H 10.932 0.368 3.202
H 8.561 -2.668 6.090
H 6.229 -6.268 0.530
H 4.235 -0.061 1.741
H 2.133 -3.420 -1.943
H 7.210 -0.958 1.228
H 5.493 -5.937 -4.991
H 0.876 -4.337 1.245
H 7.672 -5.877 -3.958
H 1.463 -5.724 -0.396
H 9.389 -1.561 -0.225
H 11.921 -0.807 3.646
H 7.891 -5.310 -5.649
H 12.012 -2.911 3.400
H 9.652 -0.975 4.862
H 4.054 -8.717 -4.433
H 9.868 -5.321 0.327
H 4.033 -9.037 -1.539
H 6.273 -3.963 3.591
H 8.514 -1.806 3.923
H 10.476 -0.867 0.872
H 3.732 -5.556 -1.612
H 4.381 -6.960 -3.188
H 5.493 -1.220 8.899
H 9.002 0.429 6.438
H 5.640 -3.286 5.497
H 4.035 -5.163 -5.655
H 9.351 2.506 4.789
H 9.406 -2.699 1.841
H 2.908 -5.664 2.378
H 7.744 -3.245 -2.248
H 10.982 -4.656 4.691
H 3.515 -1.210 2.923
H 1.372 -3.620 -0.150
H 9.122 0.427 1.837
H 3.978 -3.832 1.408
H 8.109 -5.341 0.589
H 2.452 -6.899 0.048
H 5.722 -2.447 0.442
H 1.817 0.006 1.436
H 7.471 -4.552 -1.286
H 7.662 -4.084 2.807
H 3.747 -1.612 6.068
H 7.891 -0.594 8.241
H 12.452 -5.372 2.809
H 12.144 -5.008 1.066
H 5.913 -1.979 4.536
H 9.330 2.186 7.683
H 2.402 -1.874 -1.441
H 9.148 -6.470 1.509
H 6.174 -5.573 2.022
H 4.712 -2.111 7.584
H 9.764 -3.374 3.278
H 0.931 -1.159 0.441
H 11.250 -3.111 5.193
H 4.870 -4.725 -0.673
H 5.711 -0.653 7.208
H 4.823 -3.863 -2.840
H 7.111 -2.568 -0.341
H 3.995 -4.969 3.475
H 3.620 -3.157 -0.028
O 5.431 -2.861 4.605
O 12.641 -2.228 3.003
O 4.370 -3.387 0.603
O 10.971 -3.689 4.391
O 5.820 -6.350 1.453
O 4.895 -3.082 -3.461
O 11.390 -0.032 4.006
O 9.014 -3.144 2.647
O 2.412 -2.842 -1.141
O 7.564 -0.180 1.797
O 6.533 -1.917 0.163
O 0.743 -4.303 0.247
O 7.952 -3.669 -1.355
O 8.488 -3.449 6.711
O 1.993 -6.499 -0.756
O 6.851 -4.614 3.086
N 5.309 -7.141 -2.759
N 4.517 0.440 3.760
N 8.669 -1.288 4.808
N 3.201 -4.784 2.840
N 8.867 -6.970 -0.510
N 8.075 0.610 6.009
N 4.812 -6.742 -6.812
N 12.448 -2.162 0.219
N 6.777 -6.191 -1.128
N 0.936 -4.369 3.031
N 10.183 -1.747 0.410
N 13.464 -4.047 -0.819
N 5.502 1.312 5.687
N 10.861 -3.425 -1.047
N 4.715 -5.243 -1.558
N 2.523 -3.106 4.297
N 8.572 0.211 10.062
N -0.080 -2.484 4.069
N 6.607 -0.340 4.378
N 7.882 -7.843 -2.437
C 4.384 -0.558 2.718
C 8.389 -5.430 -4.674
C 4.995 -5.613 -5.924
C 12.389 -5.804 1.797
C 0.995 -0.727 1.453
C 8.389 -0.918 9.174
C 13.539 -2.902 -0.160
C 2.192 -4.039 3.435
C 9.000 -5.973 0.532
C 5.623 -6.252 -1.845
C 4.995 -1.101 7.924
C -0.155 -3.629 3.409
C 7.834 -7.023 -1.399
C 5.550 0.492 4.649
C 7.761 -0.279 5.095
C 11.191 -2.492 -0.185
```

Computed properties:
Final energy (eV/cell): -719.90
Total moment (μB per formula unit): 1.0
Symmetry: No. 15

# 2
Density functional theory data (GGA-PBEsol) for a geometry-optimized CuH6CN2O3 structure.

Geometry as extended XYZ:
```
52
Lattice="-4.302 3.524 0.831 -3.355 -3.956 -4.893 -3.758 -6.418 7.767" Properties=species:S:1:pos:R:3 pbc="T T T"
O -3.465 -5.083 5.449
O -6.352 0.073 0.869
O -7.949 -1.767 -1.744
O -7.136 -6.797 0.616
O -5.506 -1.941 1.010
O -6.398 -2.578 -3.060
O -6.206 -6.096 4.608
O -5.017 -4.272 6.765
O -5.908 -4.908 2.695
O -4.279 -0.053 3.089
O -5.209 -0.754 -0.902
O -5.062 -6.923 2.837
C -7.345 -2.837 -2.191
C -4.069 -4.013 5.896
C -5.675 -0.871 0.270
C -5.740 -5.979 3.435
N -6.271 -2.289 3.972
N -8.007 -4.419 6.925
N -2.321 -0.627 -0.187
N -3.408 -2.430 -3.220
N -3.389 -3.285 2.653
N -8.026 -3.565 1.052
N -5.144 -4.561 -0.267
N -9.094 -6.223 3.893
H -4.999 -3.606 0.110
H -3.211 -3.101 3.659
H -4.814 1.153 -1.045
H -9.300 -5.229 3.679
H -6.949 -2.102 4.734
H -2.115 -1.621 0.026
H -4.300 -3.779 2.624
H -8.203 -3.749 0.046
H -6.601 -8.003 4.750
H -3.752 1.786 0.044
H -7.872 -4.468 1.522
H -4.465 -4.748 -1.029
H -8.995 -6.763 3.013
H -6.415 -3.244 3.595
H -3.543 -2.382 2.183
H -8.158 -6.225 4.339
H -4.138 -2.512 -2.499
H -7.115 -3.071 1.081
H -6.077 -4.555 -0.718
H -2.420 -0.087 0.692
H -7.663 -8.636 3.662
H -3.256 -0.625 -0.634
H -7.277 -4.338 6.205
H -5.338 -2.295 4.423
Cu -6.694 -0.571 -2.695
Cu -5.032 -5.924 1.130
Cu -4.720 -6.279 6.400
Cu -6.383 -0.926 2.575
```

Computed properties:
Final energy (eV/cell): -302.60
Total moment (μB per formula unit): 1.0
Symmetry: No. 14

# 3
Density functional theory data (GGA-PBEsol) for a geometry-optimized CuH12C3SN6O7 structure.

Geometry as extended XYZ:
```
120
Lattice="8.756 0.000 0.000 0.000 9.239 0.000 0.000 0.000 12.788" Properties=species:S:1:pos:R:3 pbc="T T T"
H 6.439 8.204 2.660
H 4.492 2.570 4.510
H 6.695 8.204 10.128
H 4.263 2.049 10.904
H 4.026 2.896 7.307
H 8.641 2.570 8.279
H 6.665 4.283 10.683
H 7.345 1.622 2.648
H 5.620 0.301 0.501
H 2.061 5.654 3.734
H 1.243 4.318 5.893
H 3.135 4.318 6.895
H 2.287 0.336 8.500
H 6.439 3.585 3.734
H 2.091 0.336 4.288
H 6.468 4.283 2.106
H 2.317 5.654 9.054
H 0.114 2.049 1.885
H 2.061 1.034 2.660
H 2.967 7.616 2.648
H 6.468 8.903 4.288
H 2.967 2.997 3.746
H 5.789 1.622 10.141
H 4.492 7.190 1.885
H 5.620 4.920 5.893
H 7.513 4.920 6.895
H 0.352 7.515 0.913
H 8.403 1.723 11.875
H 8.403 6.343 7.307
H 7.513 0.301 12.287
H 0.114 6.668 4.510
H 7.345 6.241 3.746
H 2.287 4.955 10.683
H 6.665 8.903 8.500
H 4.263 6.668 8.279
H 3.135 8.938 12.287
H 0.352 2.896 5.481
H 4.730 6.343 5.481
H 1.411 2.997 9.042
H 6.695 3.585 9.054
H 8.641 7.190 10.904
H 1.243 8.938 0.501
H 4.730 1.723 0.913
H 2.091 4.955 2.106
H 1.411 7.616 10.141
H 2.317 1.034 10.128
H 5.789 6.241 9.042
H 4.026 7.515 11.875
N 3.976 7.737 2.585
N 0.402 7.737 10.203
N 8.354 6.121 3.809
N 5.633 5.928 5.731
N 7.500 5.928 7.057
N 7.188 3.832 9.926
N 8.354 1.501 2.585
N 5.633 1.309 0.663
N 7.188 8.452 9.257
N 0.402 3.118 8.979
N 4.779 1.501 10.203
N 7.500 1.309 12.125
N 3.123 3.310 7.057
N 4.779 6.121 8.979
N 3.976 3.118 3.809
N 1.568 5.406 2.862
N 2.810 0.787 9.257
N 1.255 7.930 0.663
N 1.568 0.787 3.532
N 3.123 7.930 12.125
N 5.945 3.832 2.862
N 5.945 8.452 3.532
N 1.255 3.310 5.731
N 2.810 5.406 9.926
O 7.194 3.160 5.360
O 2.189 5.941 0.000
O 6.567 7.917 6.394
O 5.939 3.160 7.428
O 4.835 5.094 10.987
O 2.189 1.322 6.394
O 1.561 1.459 11.754
O 8.299 0.475 4.593
O 7.598 6.084 12.096
O 1.157 7.774 5.701
O 3.220 7.774 7.087
O 3.921 4.145 1.801
O 0.457 8.764 8.195
O 2.816 1.459 1.034
O 6.567 3.298 0.000
O 5.939 7.779 11.754
O 3.220 3.155 12.096
O 4.835 0.475 8.195
O 5.535 6.084 0.693
O 3.921 8.764 4.593
O 0.457 4.145 10.987
O 7.194 7.779 1.034
O 1.157 3.155 0.693
O 7.598 1.464 7.087
O 2.816 6.079 5.360
O 8.299 5.094 1.801
O 5.535 1.464 5.701
O 1.561 6.079 7.428
C 2.189 2.586 6.394
C 2.189 7.205 0.000
C 8.514 8.331 9.184
C 4.620 8.331 3.604
C 0.242 0.907 3.604
C 0.242 5.527 2.790
C 4.136 5.527 9.998
C 4.136 0.907 9.184
C 8.514 3.712 9.998
C 6.567 2.033 0.000
C 4.620 3.712 2.790
C 6.567 6.652 6.394
S 2.189 6.923 6.394
S 2.189 2.304 0.000
S 6.567 2.315 6.394
S 6.567 6.935 0.000
Cu 4.378 4.619 0.000
Cu 0.000 4.619 0.000
Cu 4.378 0.000 6.394
Cu 0.000 0.000 6.394
```

Computed properties:
Final energy (eV/cell): -744.67
Total moment (μB per formula unit): 1.0
Symmetry: No. 60

# 4
Density functional theory data (GGA-PBEsol) for a geometry-optimized CuHCO4 structure.

Geometry as extended XYZ:
```
42
Lattice="-2.610 -1.897 -5.247 -7.974 -3.983 5.406 -0.393 9.857 -3.368" Properties=species:S:1:pos:R:3 pbc="T T T"
O -6.066 5.446 -4.375
O -5.481 2.130 -3.468
O -4.911 -1.469 1.166
O -3.921 6.448 -3.540
O -5.496 1.847 0.258
O -5.844 3.797 -1.626
O -8.032 -3.179 -1.631
O -4.868 4.506 0.336
O -6.109 -0.528 -3.546
O -7.892 0.091 2.084
O -5.133 0.181 -1.584
O -5.332 -1.942 -2.069
O -3.221 2.440 -1.088
O -1.440 3.710 -1.081
O -7.756 1.538 -2.122
O -9.125 -1.972 -0.172
O -1.851 5.949 -3.038
O -2.945 7.157 -1.579
O -8.561 0.977 -0.167
O -5.645 5.920 -1.140
O -2.416 3.001 -3.043
O -7.056 -2.470 0.331
O -9.536 0.267 -2.129
O -3.085 3.887 -5.294
Cu -5.292 -2.940 0.079
Cu -4.183 2.937 1.019
Cu -5.488 1.989 -1.605
Cu -3.987 -1.991 2.703
Cu -1.501 3.980 -4.308
Cu -0.196 4.929 -1.684
C -8.052 -2.547 -0.498
C -5.531 -0.744 -2.404
C -2.347 3.063 -1.748
C -8.630 0.914 -1.462
C -2.924 6.524 -2.712
C -5.446 4.721 -0.806
H -5.893 3.028 -3.588
H -3.574 3.178 -4.795
H -5.084 0.949 0.378
H -7.403 0.800 1.585
H -5.811 -1.279 1.545
H -5.166 5.257 -4.755
```

Computed properties:
Final energy (eV/cell): -268.14
Total moment (μB per formula unit): 0.0
Symmetry: No. 176

# 5
Density functional theory data (GGA-PBEsol) for a geometry-optimized TlCuHCO4 structure.

Geometry as extended XYZ:
```
48
Lattice="5.989 0.000 0.000 0.000 10.975 0.000 0.000 -5.487 9.504" Properties=species:S:1:pos:R:3 pbc="T T T"
O 1.497 -2.799 6.867
O 1.497 4.948 1.066
O 1.497 0.940 3.646
O 4.491 4.547 5.858
O 4.491 8.287 2.637
O 0.363 -0.886 4.246
O 1.497 7.578 3.753
O 1.497 1.860 8.495
O 4.491 -2.090 5.752
O 2.632 2.253 6.614
O 5.626 6.854 1.355
O 0.363 2.253 6.614
O 4.491 3.628 1.009
O 4.491 0.539 8.439
O 1.497 3.936 4.686
O 2.632 -1.367 8.149
O 0.363 -1.367 8.149
O 5.626 3.234 2.891
O 3.357 6.854 1.355
O 3.357 3.234 2.891
O 3.357 6.374 5.258
O 4.491 1.551 4.818
O 5.626 6.374 5.258
O 2.632 -0.886 4.246
Cu 0.000 2.744 4.752
Cu 2.994 2.744 4.752
Cu 2.994 5.487 0.000
Cu 0.000 -2.744 4.752
Cu 2.994 -2.744 4.752
Cu 0.000 5.487 0.000
C 1.497 -1.845 7.710
C 4.491 5.754 5.453
C 4.491 3.375 2.257
C 1.497 2.112 7.248
C 1.497 -0.267 4.052
C 4.491 7.333 1.795
Tl 4.491 3.117 8.225
Tl 1.497 8.681 1.413
Tl 4.491 0.077 2.693
Tl 1.497 2.370 1.280
Tl 4.491 -3.194 8.091
Tl 1.497 5.410 6.812
H 1.497 4.311 3.780
H 1.497 5.546 1.843
H 4.491 -0.058 7.661
H 1.497 6.606 3.881
H 4.491 -1.118 5.623
H 4.491 1.177 5.724
```

Computed properties:
Final energy (eV/cell): -292.61
Total moment (μB per formula unit): 1.0
Symmetry: No. 176

# 6
Density functional theory data (GGA-PBEsol) for a geometry-optimized HfCuIrC2 structure.

Geometry as extended XYZ:
```
5
Lattice="3.850 0.000 0.000 0.000 3.850 0.000 0.000 0.000 5.385" Properties=species:S:1:pos:R:3 pbc="T T T"
C 1.925 0.000 0.000
C 0.000 1.925 0.000
Ir 0.000 0.000 0.000
Hf 0.000 0.000 2.693
Cu 1.925 1.925 2.693
```

Computed properties:
Calculated formation energy (eV per atom): 1.368
Final energy (eV/cell): -37.11
Total moment (μB per formula unit): 0.0
Symmetry: No. 123